This record from the Alexandria database describes crystalline Cs2LiGaBi2 at its relaxed geometry. The functional is PBE.

ΔE_f, meV per atom: -394
Uncorrected energy, eV/cell: -67.083

CIF file:
```
data_Cs2LiGaBi2
_cell_length_a 7.2349
_cell_length_b 17.7397
_cell_length_c 7.2404
_cell_angle_alpha 90.00
_cell_angle_beta 90.00
_cell_angle_gamma 90.00
_symmetry_space_group_name_H-M 'I b a m'
_symmetry_Int_Tables_number 72
_symmetry_space_group_name_Hall '-I 2 2c'
loop_
_atom_site_label
_atom_site_fract_x
_atom_site_fract_y
_atom_site_fract_z
Cs1 0.2386 0.1656 0.0000
Li1 0.0000 0.0000 0.2500
Ga1 0.0000 0.5000 0.2500
Bi1 0.2274 0.4139 0.0000
```

***

This record from the Alexandria database describes crystalline Hf3Sn2Pd8 at its relaxed geometry. The functional is PBE.

ΔE_f, meV per atom: -430
Uncorrected energy, eV/cell: -254.987

CIF file:
```
data_Hf3Sn2Pd8
_cell_length_a 5.3472
_cell_length_b 5.3472
_cell_length_c 29.3917
_cell_angle_alpha 90.00
_cell_angle_beta 90.00
_cell_angle_gamma 120.00
_symmetry_space_group_name_H-M 'R -3 m'
_symmetry_Int_Tables_number 166
_symmetry_space_group_name_Hall '-R 3 2"'
loop_
_atom_site_label
_atom_site_fract_x
_atom_site_fract_y
_atom_site_fract_z
Hf1 0.0000 0.0000 0.0000
Hf2 0.0000 0.0000 0.1898
Sn1 0.0000 0.0000 0.3682
Pd1 0.0000 0.0000 0.2794
Pd2 0.0026 0.5013 0.7775
```

***

This record from the Alexandria database describes crystalline LaUBrO4 at its relaxed geometry. The functional is PBE.

Uncorrected energy, eV/cell: -232.384
Formation energy without anion corrections, eV/atom: -2.911

CIF file:
```
data_LaUBrO4
_cell_length_a 14.9298
_cell_length_b 7.0270
_cell_length_c 5.7229
_cell_angle_alpha 90.00
_cell_angle_beta 102.12
_cell_angle_gamma 90.00
_symmetry_space_group_name_H-M 'C 1 2/m 1'
_symmetry_Int_Tables_number 12
loop_
_symmetry_equiv_pos_as_xyz
'x,y,z'
'-x,-y,-z'
'-x,y,-z'
'x,-y,z'
'x+1/2,y+1/2,z'
'-x+1/2,-y+1/2,-z'
'-x+1/2,y+1/2,-z'
'x+1/2,-y+1/2,z'
loop_
_atom_site_label
_atom_site_fract_x
_atom_site_fract_y
_atom_site_fract_z
La1 0.1957 0.0000 0.4324
U1 0.1175 0.5000 0.0437
Br1 0.0832 0.0000 0.8330
O1 0.0209 0.5000 0.2255
O2 0.1879 0.5000 0.8070
O3 0.1955 0.3120 0.2818
```